CrInO2: relaxed, PBE with a Hubbard U. Values from VASP.

* M_tot: 6.000 Bohr magnetons per cell
* uncorrected energy: -6.09 eV per atom
* space group: I-42d

Quantum ESPRESSO input file:
```
&SYSTEM
  ibrav = 0, nat = 8, ntyp = 3
/
ATOMIC_SPECIES
Cr 52.00 Cr.upf
In 114.82 In.upf
O 16.00 O.upf
CELL_PARAMETERS angstrom
-2.7288 2.7288 4.5598
2.7288 -2.7288 4.5598
2.7288 2.7288 -4.5598
ATOMIC_POSITIONS angstrom
Cr 0.0000 0.0000 0.0000
Cr 0.0000 2.7288 2.2799
In 2.7288 0.0000 2.2799
In 0.0000 0.0000 4.5598
O 4.0932 0.7113 -1.1399
O 0.7113 1.3644 1.1399
O -1.3644 2.0176 3.4198
O 2.0176 1.3644 5.6997
```